# 1
# LaTb2Sn5Pb2 | OQMD via LeMat-Bulk | GGA-PBE | relaxed
# Excess energy over the best structure of this formula in the dataset, eV/atom: 0.001
# E_tot, eV per atom: -4.690
data_LaTb2Sn5Pb2
_chemical_formula_sum 'La2 Tb4 Sn10 Pb4'
_cell_length_a 4.6009
_cell_length_b 25.5642
_cell_length_c 4.7173
_cell_angle_alpha 90.00
_cell_angle_beta 90.00
_cell_angle_gamma 90.00
_space_group_name_H-M_alt 'C m m m'
_space_group_IT_number 65
_space_group_name_Hall '-C 2 2'
loop_
_atom_site_label
_atom_site_fract_x
_atom_site_fract_y
_atom_site_fract_z
La1 0.0000 0.0000 0.0000
Tb1 0.0000 0.1894 0.0000
Sn1 0.0000 0.2913 0.5000
Sn2 0.0000 0.4013 0.0000
Sn3 0.0000 0.5000 0.5000
Pb1 0.0000 0.1000 0.5000

***

# 2
# LuBeNbFe | OQMD via LeMat-Bulk | GGA-PBE | relaxed
# Excess energy over the best structure of this formula in the dataset, eV/atom: 0.417
# E_tot, eV per atom: -6.145
data_LuBeNbFe
_chemical_formula_sum 'Lu4 Be4 Nb4 Fe4'
_cell_length_a 6.2573
_cell_length_b 6.2573
_cell_length_c 6.2573
_cell_angle_alpha 90.00
_cell_angle_beta 90.00
_cell_angle_gamma 90.00
_space_group_name_H-M_alt 'F -4 3 m'
_space_group_IT_number 216
_space_group_name_Hall 'F -4 2 3'
loop_
_atom_site_label
_atom_site_fract_x
_atom_site_fract_y
_atom_site_fract_z
Lu1 0.0000 0.0000 0.0000
Be1 0.0000 0.0000 0.5000
Nb1 0.2500 0.2500 0.7500
Fe1 0.2500 0.2500 0.2500

***

# 3
# TbEr2Cd3Ag3 | OQMD via LeMat-Bulk | GGA-PBE | relaxed
# ΔE_f, eV/atom: -0.3320
# E_tot, eV per atom: -3.100
data_TbEr2Cd3Ag3
_chemical_formula_sum 'Tb2 Er4 Cd6 Ag6'
_cell_length_a 3.8928
_cell_length_b 13.5792
_cell_length_c 7.8204
_cell_angle_alpha 90.00
_cell_angle_beta 90.00
_cell_angle_gamma 90.00
_space_group_name_H-M_alt 'A m m 2'
_space_group_IT_number 38
loop_
_space_group_symop_operation_xyz
'x,y,z'
'-x,-y,z'
'-x,y,z'
'x,-y,z'
'x,y+1/2,z+1/2'
'-x,-y+1/2,z+1/2'
'-x,y+1/2,z+1/2'
'x,-y+1/2,z+1/2'
loop_
_atom_site_label
_atom_site_fract_x
_atom_site_fract_y
_atom_site_fract_z
Tb1 0.0000 0.0000 0.0000
Er1 0.0000 0.2023 0.6070
Cd1 0.5000 0.0000 0.6679
Cd2 0.5000 0.1322 0.2732
Ag1 0.0000 0.0000 0.4053
Ag2 0.5000 0.1679 0.9040